CsUNb2O8 after structural relaxation, computed with PBE.

The structure belongs to space group P-3m1 (No. 164); the cell edges are 6.1526, 6.1526 and 8.4568 Å and the angles 90.00°, 90.00° and 120.00°. Symmetry generates all atoms from Cs at (0.0000, 0.0000, 0.0000), U at (0.0000, 0.0000, 0.5000), Nb at (0.3333, 0.6667, 0.7208), O at (0.1625, 0.3250, 0.6508) and O at (0.3333, 0.6667, 0.9310).

As for the uncorrected formation energy: -2.69 eV per atom. The crystal system is trigonal. For the raw total energy, the calculation gives -8.682 eV/atom.